EuLuInGe | the Alexandria database | PBE-GGA | relaxed; symmetry = F-43m, No. 216; energy relative to the elements = -0.4263 eV per atom; total energy = -5.964 eV per atom; density of states at the Fermi level = 0.588 states/eV per atom
1.0
-2.1378 -3.7252 -3.0132
2.4075 -4.6287 -0.5532
-2.0461 -4.3007 2.2009
Lu Eu Ge In
1 1 1 1
direct
0.5000 0.5000 0.5000
0.0000 0.0000 0.0000
0.2500 0.2500 0.2500
0.7500 0.7500 0.7500